Co2BiMoPb after structural relaxation. Source: Alexandria via LeMat-Bulk, functional PBE-GGA.

Cell lengths 4.6487, 5.7364, 4.6487 Å; angles 90.00, 90.00, 90.00 degrees
Last column: nearest neighbours and their distance in Å.
Sites, in units of the cell vectors:
Mo  0.5000  0.5000  0.5000  4 Bi 3.29
Co  0.5000  0.0000  0.0000  2 Pb 2.32
Pb  0.0000  0.0000  0.0000  4 Co 2.32
Co  0.0000  0.0000  0.5000  2 Pb 2.32
Bi  0.0000  0.5000  0.0000  2 Pb 2.87

Magnetic moment   0.10 μB per atom
Calculated formation energy   2.20 eV per atom

=====

CoBiMoRu2 after structural relaxation. Source: Alexandria via LeMat-Bulk, functional PBE-GGA.

Cell lengths 4.7065, 4.5005, 4.7065 Å; angles 90.00, 90.00, 90.00 degrees
Last column: nearest neighbours and their distance in Å.
Sites, in units of the cell vectors:
Mo  0.0000  0.0000  0.0000  2 Co 2.25, 4 Ru 2.35
Ru  0.0000  0.0000  0.5000  2 Mo 2.35
Ru  0.5000  0.0000  0.0000  2 Mo 2.35
Co  0.0000  0.5000  0.0000  2 Mo 2.25
Bi  0.5000  0.5000  0.5000  8 Ru 3.26, 4 Co 3.33

Magnetic moment   0.00 μB per atom
Calculated formation energy   1.25 eV per atom

=====

Co2BiMoS after structural relaxation. Source: Alexandria via LeMat-Bulk, functional PBE-GGA.

Cell lengths 4.7588, 5.4035, 4.7588 Å; angles 90.00, 90.00, 90.00 degrees
Last column: nearest neighbours and their distance in Å.
Sites, in units of the cell vectors:
Co  0.5000  0.0000  0.0000  2 Bi 2.38
Co  0.0000  0.0000  0.5000  2 Bi 2.38
S  0.5000  0.5000  0.5000  4 Mo 3.36, 8 Co 3.60
Mo  0.0000  0.5000  0.0000  2 Bi 2.70
Bi  0.0000  0.0000  0.0000  4 Co 2.38

Magnetic moment   1.23 μB per atom
Formation energy from raw total energies   1880 meV/atom

=====

Co2BiSbMo after structural relaxation. Source: Alexandria via LeMat-Bulk, functional PBE-GGA.

Cell lengths 4.6352, 5.8513, 4.6352 Å; angles 90.00, 90.00, 90.00 degrees
Last column: nearest neighbours and their distance in Å.
Sites, in units of the cell vectors:
Mo  0.5000  0.5000  0.5000  4 Bi 3.28
Co  0.0000  0.0000  0.5000  2 Sb 2.32
Co  0.5000  0.0000  0.0000  2 Sb 2.32
Bi  0.0000  0.5000  0.0000  2 Sb 2.93
Sb  0.0000  0.0000  0.0000  4 Co 2.32

Magnetic moment   1.19 μB per atom
Formation energy from raw total energies   1607 meV/atom

=====

ScCo2BiMo after structural relaxation. Source: Alexandria via LeMat-Bulk, functional PBE-GGA.

Cell lengths 4.6271, 4.6271, 5.2748 Å; angles 90.00, 90.00, 90.00 degrees
Last column: nearest neighbours and their distance in Å.
Sites, in units of the cell vectors:
Sc  0.0000  0.0000  0.5000  2 Bi 2.64
Co  0.0000  0.5000  0.0000  2 Bi 2.31
Co  0.5000  0.0000  0.0000  2 Bi 2.31
Mo  0.5000  0.5000  0.5000  4 Sc 3.27, 8 Co 3.51
Bi  0.0000  0.0000  0.0000  4 Co 2.31

Magnetic moment   0.47 μB per atom
Calculated formation energy   1.72 eV per atom

=====

Co2BiMoW after structural relaxation. Source: Alexandria via LeMat-Bulk, functional PBE-GGA.

Cell lengths 4.4862, 5.2550, 4.4862 Å; angles 90.00, 90.00, 90.00 degrees
Last column: nearest neighbours and their distance in Å.
Sites, in units of the cell vectors:
Bi  0.0000  0.5000  0.0000  2 W 2.63
Mo  0.5000  0.5000  0.5000  4 Bi 3.17, 8 Co 3.45
Co  0.0000  0.0000  0.5000  2 W 2.24
Co  0.5000  0.0000  0.0000  2 W 2.24
W  0.0000  0.0000  0.0000  4 Co 2.24

Magnetic moment   0.77 μB per atom
Calculated formation energy   1.79 eV per atom

=====

YCo2BiMo after structural relaxation. Source: Alexandria via LeMat-Bulk, functional PBE-GGA.

Cell lengths 4.7830, 5.6847, 4.7830 Å; angles 90.00, 90.00, 90.00 degrees
Last column: nearest neighbours and their distance in Å.
Sites, in units of the cell vectors:
Bi  0.0000  0.0000  0.0000  4 Co 2.39
Co  0.5000  0.0000  0.0000  2 Bi 2.39
Mo  0.5000  0.5000  0.5000  4 Y 3.38, 8 Co 3.71
Co  0.0000  0.0000  0.5000  2 Bi 2.39
Y  0.0000  0.5000  0.0000  2 Bi 2.84

Magnetic moment   1.29 μB per atom
Calculated formation energy   1.65 eV per atom

=====

CoBi2N after structural relaxation. Source: Alexandria via LeMat-Bulk, functional PBE-GGA.

Cell lengths 5.7396, 5.7396, 6.7162 Å; angles 64.70, 64.70, 90.00 degrees
Last column: nearest neighbours and their distance in Å.
Sites, in units of the cell vectors:
Co  0.7500  0.2500  0.5000  4 Bi 2.51
Bi  0.8750  0.8534  0.7500  2 N 2.36, 2 Co 2.51
Bi  0.6034  0.1250  0.2500  2 N 2.36, 2 Co 2.51
Co  0.0000  0.0000  0.0000  4 Bi 2.51
Bi  0.3750  0.3966  0.7500  2 N 2.36, 2 Co 2.51
N  0.2500  0.7500  0.5000  4 Bi 2.36
Bi  0.1466  0.6250  0.2500  2 N 2.36, 2 Co 2.51
N  0.5000  0.5000  0.0000  4 Bi 2.36

Magnetic moment   0.00 μB per atom
Formation energy from raw total energies   722 meV/atom

=====

CoBi3N after structural relaxation. Source: Alexandria via LeMat-Bulk, functional PBE-GGA.

Cell lengths 4.8581, 4.8581, 4.8581 Å; angles 90.00, 90.00, 90.00 degrees
Last column: nearest neighbours and their distance in Å.
Sites, in units of the cell vectors:
Bi  0.0000  0.0000  0.5000  2 N 2.43
N  0.0000  0.0000  0.0000  6 Bi 2.43
Co  0.5000  0.5000  0.5000  12 Bi 3.44
Bi  0.5000  0.0000  0.0000  2 N 2.43
Bi  0.0000  0.5000  0.0000  2 N 2.43

Magnetic moment   0.23 μB per atom
Formation energy from raw total energies   889 meV/atom
Polymorph energy (0 for the lowest one)   0 meV per atom

=====

Co3Bi3N5 after structural relaxation. Source: Alexandria via LeMat-Bulk, functional PBE-GGA.

Cell lengths 5.5965, 7.9641, 8.2210 Å; angles 105.38, 105.49, 102.63 degrees
Last column: nearest neighbours and their distance in Å.
Sites, in units of the cell vectors:
Co  0.3257  0.0200  0.3832  4 N 1.79-1.96
N  0.3678  0.0086  0.6235  3 Co 1.79-1.95
Bi  0.6014  0.8418  0.8736  2 N 2.32-2.36
Bi  0.8030  0.5126  0.6182  1 N 2.28
N  0.0308  0.8449  0.2053  3 Co 1.85-1.92
Co  0.9834  0.3187  0.0120  4 N 1.83-1.97
N  0.9692  0.1551  0.7947  3 Co 1.85-1.92
Bi  0.6555  0.6490  0.2370  4 N 2.39-2.52
N  0.2063  0.8667  0.9133  2 Co 1.94-1.96
Bi  0.3445  0.3510  0.7630  4 N 2.39-2.52
Co  0.6743  0.9800  0.6168  4 N 1.79-1.96
N  0.7829  0.4715  0.0107  2 Co 1.83-1.97
Bi  0.1970  0.4874  0.3818  1 N 2.28
Co  0.0166  0.6813  0.9880  4 N 1.83-1.97
Co  0.8783  0.0333  0.2786  4 N 1.79-1.94
Co  0.1217  0.9667  0.7214  4 N 1.79-1.94
N  0.2171  0.5285  0.9893  2 Co 1.83-1.97
N  0.8306  0.7826  0.5671  2 Co 1.81-1.96
Bi  0.3986  0.1582  0.1264  2 N 2.32-2.36
N  0.7937  0.1333  0.0867  2 Co 1.94-1.96
N  0.1694  0.2174  0.4329  2 Co 1.81-1.96
N  0.6322  0.9914  0.3765  3 Co 1.79-1.95

Magnetic moment   0.00 μB per atom
Formation energy from raw total energies   550 meV/atom

=====

CoBi3N after structural relaxation. Source: Alexandria via LeMat-Bulk, functional PBE-GGA.

Cell lengths 4.9995, 4.9995, 4.9995 Å; angles 90.00, 90.00, 90.00 degrees
Last column: nearest neighbours and their distance in Å.
Sites, in units of the cell vectors:
Bi  0.5000  0.0000  0.0000  2 Co 2.50
N  0.5000  0.5000  0.5000  12 Bi 3.54
Bi  0.0000  0.0000  0.5000  2 Co 2.50
Co  0.0000  0.0000  0.0000  6 Bi 2.50
Bi  0.0000  0.5000  0.0000  2 Co 2.50

Magnetic moment   0.00 μB per atom
Formation energy from raw total energies   1283 meV/atom
Polymorph energy (0 for the lowest one)   394 meV per atom

=====

CoBiN3 after structural relaxation. Source: Alexandria via LeMat-Bulk, functional PBE-GGA.

Cell lengths 3.7882, 3.7882, 3.7882 Å; angles 90.00, 90.00, 90.00 degrees
Last column: nearest neighbours and their distance in Å.
Sites, in units of the cell vectors:
Bi  0.5000  0.5000  0.5000  12 N 2.68
N  0.0000  0.5000  0.0000  2 Co 1.89
N  0.0000  0.0000  0.5000  2 Co 1.89
N  0.5000  0.0000  0.0000  2 Co 1.89
Co  0.0000  0.0000  0.0000  6 N 1.89

Magnetic moment   0.00 μB per atom
Formation energy from raw total energies   1230 meV/atom

=====

Co3Bi2N4 after structural relaxation. Source: Alexandria via LeMat-Bulk, functional PBE-GGA.

Cell lengths 6.9511, 11.4206, 5.9377 Å; angles 90.00, 88.47, 145.23 degrees
Last column: nearest neighbours and their distance in Å.
Sites, in units of the cell vectors:
Bi  0.3634  0.2434  0.1128  2 N 2.46-2.68
Co  0.0000  0.7213  0.7500  4 N 1.86-1.89
N  0.3708  0.8391  0.8796  3 Co 1.80-1.93
Bi  0.3634  0.1199  0.6128  2 N 2.46-2.68
Co  0.0000  0.2787  0.2500  4 N 1.86-1.89
N  0.8673  0.6926  0.0504  3 Co 1.83-1.89
N  0.1327  0.8253  0.4496  3 Co 1.83-1.89
Co  0.3023  0.4138  0.6599  4 N 1.80-1.93
N  0.3708  0.5317  0.3796  3 Co 1.80-1.93
N  0.8673  0.1747  0.5504  3 Co 1.83-1.89
Co  0.6977  0.5862  0.3401  4 N 1.80-1.93
N  0.6292  0.4683  0.6204  3 Co 1.80-1.93
Bi  0.6366  0.8801  0.3872  2 N 2.46-2.68
N  0.6292  0.1609  0.1204  3 Co 1.80-1.93
Bi  0.6366  0.7566  0.8872  2 N 2.46-2.68
Co  0.3023  0.8885  0.1599  4 N 1.80-1.93
Co  0.6977  0.1115  0.8401  4 N 1.80-1.93
N  0.1327  0.3074  0.9496  3 Co 1.83-1.89

Magnetic moment   0.00 μB per atom
Formation energy from raw total energies   484 meV/atom